DFT (PBE) results for a geometry-optimized AsC5 structure.

The formation energy comes out at 1.283 eV/atom. The value obtained for the calculated total energy is -7.178 eV per atom. The energy relative to the lowest polymorph listed for this composition is 410 meV per atom.

It has space group Amm2 (No. 38), with a = 2.549 Å, b = 7.571 Å, c = 11.445 Å, α = 90.00°, β = 90.00° and γ = 90.00°. The asymmetric unit holds As at (0.000, 0.000, 0.000), C at (0.000, 0.000, 0.162), C at (0.000, 0.000, 0.673), C at (0.500, 0.000, 0.224), C at (0.500, 0.000, 0.343) and C at (0.500, 0.000, 0.673).